Material: CsScPb2Cl8
Method: DFT, PBE
State: optimized geometry

Lattice parameters (Å, degrees): 6.712 6.738 9.220 84.10 79.36 84.63
Fractional positions:
Cs (0.000, 0.000, 0.000)
Sc (0.000, 0.000, 0.500)
Pb (0.459, 0.484, 0.252)
Pb (0.541, 0.516, 0.748)
Cl (0.195, 0.802, 0.678)
Cl (0.210, 0.290, 0.504)
Cl (0.263, 0.876, 0.285)
Cl (0.264, 0.406, 0.032)
Cl (0.736, 0.594, 0.968)
Cl (0.737, 0.124, 0.715)
Cl (0.790, 0.710, 0.496)
Cl (0.805, 0.198, 0.322)

Properties
calculated total energy: -4.032 eV per atom
ΔE_f (raw): -1.58 eV per atom